# V3PtO (PBE with a Hubbard U, optimized geometry)
data_V3PtO
_chemical_formula_sum 'V3 Pt1 O1'
_space_group_name_H-M_alt 'P m -3 m'
_space_group_IT_number 221
_space_group_name_Hall '-P 4 2 3'
_cell_length_a 4.970
_cell_length_b 4.970
_cell_length_c 4.970
_cell_angle_alpha 90.00
_cell_angle_beta 90.00
_cell_angle_gamma 90.00
loop_
_atom_site_label
_atom_site_type_symbol
_atom_site_fract_x
_atom_site_fract_y
_atom_site_fract_z
_atom_site_occupancy
V1 V 0.000 0.000 0.500 1
Pt1 Pt 0.000 0.000 0.000 1
O1 O 0.500 0.500 0.500 1
# **Density of states at the Fermi level**: 4.513 states/eV/f.u.
# **Magnetic moment**: 10.65 μB/f.u.
# **E**: -5.14 eV per atom
# **Calculated volume**: 122.8 Å³ per cell